Record 1
## LiCSe2 (PBE)

Data for crystalline LiCSe2 at its relaxed geometry.

Values from the calculation:
ΔE to the lowest computed polymorph (kJ per mole of atoms): 51.0
ΔE_f (raw) (meV/atom): 883
Size of the total moment (μB per cell): 0.00
Space group: R-3m (166)
VASP energy (eV/atom): -3.64

abc: 3.304 3.304 22.464
angles: 90.00 90.00 120.00
Fractional positions:
Li: 0.000 0.000 0.000
Li: 0.333 0.667 0.667
Li: 0.667 0.333 0.333
C: 0.000 0.000 0.500
C: 0.333 0.667 0.167
C: 0.667 0.333 0.833
Se: 0.000 0.000 0.107
Se: 0.000 0.000 0.893
Se: 0.333 0.667 0.560
Se: 0.333 0.667 0.773
Se: 0.667 0.333 0.227
Se: 0.667 0.333 0.440

=====

Record 2
## SrTm2NpO8 (PBE)

Data for crystalline SrTm2NpO8 at its relaxed geometry.

Values from the calculation:
ΔE_f (raw) (meV/atom): -2913
Size of the total moment (μB per cell): 0.95
Space group: P2/m (10)
VASP energy (eV/atom): -8.18

abc: 3.965 7.602 5.282
angles: 90.00 93.30 90.00
Fractional positions:
Sr: 0.000 0.000 0.000
Tm: 0.500 0.261 0.500
Tm: 0.500 0.739 0.500
Np: 0.000 0.500 0.000
O: 0.022 0.291 0.754
O: 0.022 0.709 0.754
O: 0.468 0.500 0.232
O: 0.491 0.000 0.706
O: 0.509 0.000 0.294
O: 0.532 0.500 0.768
O: 0.978 0.291 0.246
O: 0.978 0.709 0.246

=====

Record 3
## Sm3DyTh2Se6 (PBE)

Data for crystalline Sm3DyTh2Se6 at its relaxed geometry.

Values from the calculation:
ΔE_f (raw) (meV/atom): -1700
Size of the total moment (μB per cell): 0.00
Space group: C2/m (12)
VASP energy (eV/atom): -6.24

abc: 9.330 9.330 8.353
angles: 103.07 103.07 25.78
Fractional positions:
Sm: 0.000 0.000 0.000
Sm: 0.331 0.331 0.667
Sm: 0.669 0.669 0.333
Dy: 0.000 0.000 0.500
Th: 0.331 0.331 0.160
Th: 0.669 0.669 0.840
Se: 0.163 0.163 0.580
Se: 0.164 0.164 0.089
Se: 0.500 0.500 0.257
Se: 0.500 0.500 0.743
Se: 0.836 0.836 0.911
Se: 0.837 0.837 0.420